(1)
First-principles (GGA-PBE) data for a relaxed CuBiW crystal, as listed in the Open Quantum Materials Database.

Lattice parameters (Å, degrees): 6.4142 6.4142 6.4142 90.00 90.00 90.00
Fractional coordinates of all 12 atoms:
Cu 0.0000 0.0000 0.0000
Cu 0.0000 0.5000 0.5000
Cu 0.5000 0.0000 0.5000
Cu 0.5000 0.5000 0.0000
Bi 0.0000 0.0000 0.5000
Bi 0.0000 0.5000 0.0000
Bi 0.5000 0.0000 0.0000
Bi 0.5000 0.5000 0.5000
W 0.2500 0.2500 0.7500
W 0.2500 0.7500 0.2500
W 0.7500 0.2500 0.2500
W 0.7500 0.7500 0.7500

Output
The value obtained for the total energy is -69.434 eV/cell.

***

(2)
First-principles (GGA-PBE) data for a relaxed YCuBiW crystal, as listed in the Open Quantum Materials Database.

Lattice parameters (Å, degrees): 6.9726 6.9726 6.9726 90.00 90.00 90.00
Fractional coordinates of all 16 atoms:
Y 0.0000 0.0000 0.0000
Y 0.0000 0.5000 0.5000
Y 0.5000 0.0000 0.5000
Y 0.5000 0.5000 0.0000
Cu 0.0000 0.0000 0.5000
Cu 0.0000 0.5000 0.0000
Cu 0.5000 0.0000 0.0000
Cu 0.5000 0.5000 0.5000
Bi 0.2500 0.2500 0.7500
Bi 0.2500 0.7500 0.2500
Bi 0.7500 0.2500 0.2500
Bi 0.7500 0.7500 0.7500
W 0.2500 0.2500 0.2500
W 0.2500 0.7500 0.7500
W 0.7500 0.2500 0.7500
W 0.7500 0.7500 0.2500

Output
The value obtained for the total energy is -94.837 eV/cell. The value obtained for the energy above the lowest structure with this stoichiometry is 0.2197 eV per atom.

***

(3)
First-principles (GGA-PBE) data for a relaxed YCuBiW crystal, as listed in the Open Quantum Materials Database.

Lattice parameters (Å, degrees): 6.8957 6.8957 6.8957 90.00 90.00 90.00
Fractional coordinates of all 16 atoms:
Y 0.0000 0.0000 0.0000
Y 0.0000 0.5000 0.5000
Y 0.5000 0.0000 0.5000
Y 0.5000 0.5000 0.0000
Cu 0.2500 0.2500 0.2500
Cu 0.2500 0.7500 0.7500
Cu 0.7500 0.2500 0.7500
Cu 0.7500 0.7500 0.2500
Bi 0.0000 0.0000 0.5000
Bi 0.0000 0.5000 0.0000
Bi 0.5000 0.0000 0.0000
Bi 0.5000 0.5000 0.5000
W 0.2500 0.2500 0.7500
W 0.2500 0.7500 0.2500
W 0.7500 0.2500 0.2500
W 0.7500 0.7500 0.7500

Output
The value obtained for the total energy is -98.352 eV/cell. The value obtained for the energy above the lowest structure with this stoichiometry is 0.0000 eV per atom.

***

(4)
First-principles (GGA-PBE) data for a relaxed ZnCuBiW crystal, as listed in the Open Quantum Materials Database.

Lattice parameters (Å, degrees): 6.5871 6.5871 6.5871 90.00 90.00 90.00
Fractional coordinates of all 16 atoms:
Zn 0.0000 0.0000 0.0000
Zn 0.0000 0.5000 0.5000
Zn 0.5000 0.0000 0.5000
Zn 0.5000 0.5000 0.0000
Cu 0.2500 0.2500 0.2500
Cu 0.2500 0.7500 0.7500
Cu 0.7500 0.2500 0.7500
Cu 0.7500 0.7500 0.2500
Bi 0.0000 0.0000 0.5000
Bi 0.0000 0.5000 0.0000
Bi 0.5000 0.0000 0.0000
Bi 0.5000 0.5000 0.5000
W 0.2500 0.2500 0.7500
W 0.2500 0.7500 0.2500
W 0.7500 0.2500 0.2500
W 0.7500 0.7500 0.7500

Output
The value obtained for the total energy is -74.054 eV/cell. The value obtained for the energy above the lowest structure with this stoichiometry is 0.0000 eV per atom.